# Ca2Cr2N3

A relaxed Ca2Cr2N3 crystal (GGA-PBE, the Alexandria database).

Output
Its uncorrected formation energy is -0.780 eV per atom.

abc: 3.250 5.586 5.391
angles: 104.18 107.54 90.00
Fractional positions:
Ca  0.606  0.826  0.212
Ca  0.394  0.174  0.788
Cr  0.842  0.598  0.684
Cr  0.158  0.402  0.316
N  0.000  0.500  0.000
N  0.288  0.732  0.576
N  0.712  0.268  0.424

# CaCr3N

A relaxed CaCr3N crystal (GGA-PBE, the Alexandria database).

Output
As for the energy above the most stable polymorph in this dataset: 0 meV per atom. Its uncorrected formation energy is 0.341 eV per atom.

abc: 4.008 4.008 4.008
angles: 90.00 90.00 90.00
Fractional positions:
Cr  0.000  0.500  0.000
Cr  0.000  0.000  0.500
Cr  0.500  0.000  0.000
Ca  0.500  0.500  0.500
N  0.000  0.000  0.000